No. 1
{
  "formula": "Al4TlCo",
  "functional": "GGA-PBEsol",
  "state": "relaxed",
  "lattice_angstrom": [[0.000, 3.724, 3.724], [3.724, 0.000, 3.724], [3.724, 3.724, 0.000]],
  "species": ["Al", "Al", "Al", "Al", "Tl", "Co"],
  "fractional_positions": [[0.376, 0.376, 0.376], [0.376, 0.376, 0.871], [0.376, 0.871, 0.376], [0.871, 0.376, 0.376], [0.000, 0.000, 0.000], [0.750, 0.750, 0.750]],
  "space_group": "No. 216",
  "delta_e_f_ev_per_atom": 0.4036
}

=====

No. 2
{
  "formula": "La2CuSe4O12",
  "functional": "GGA-PBEsol",
  "state": "relaxed",
  "lattice_angstrom": [[10.608, 0.000, 0.000], [0.000, 7.099, 0.000], [-2.980, 0.000, 7.821]],
  "species": ["La", "La", "La", "La", "Cu", "Cu", "Se", "Se", "Se", "Se", "Se", "Se", "Se", "Se", "O", "O", "O", "O", "O", "O", "O", "O", "O", "O", "O", "O", "O", "O", "O", "O", "O", "O", "O", "O", "O", "O", "O", "O"],
  "fractional_positions": [[0.082, 0.168, 0.237], [0.082, 0.332, 0.737], [0.918, 0.668, 0.263], [0.918, 0.832, 0.763], [0.500, 0.000, 0.500], [0.500, 0.500, 0.000], [0.190, 0.681, 0.134], [0.190, 0.819, 0.634], [0.373, 0.180, 0.132], [0.373, 0.320, 0.632], [0.627, 0.680, 0.368], [0.627, 0.820, 0.868], [0.810, 0.181, 0.366], [0.810, 0.319, 0.866], [0.060, 0.654, 0.592], [0.060, 0.846, 0.092], [0.119, 0.511, 0.222], [0.119, 0.989, 0.722], [0.154, 0.617, 0.926], [0.154, 0.883, 0.426], [0.204, 0.219, 0.032], [0.204, 0.281, 0.532], [0.356, 0.136, 0.330], [0.356, 0.364, 0.830], [0.442, 0.097, 0.676], [0.442, 0.403, 0.176], [0.558, 0.597, 0.824], [0.558, 0.903, 0.324], [0.644, 0.636, 0.170], [0.644, 0.864, 0.670], [0.796, 0.719, 0.468], [0.796, 0.781, 0.968], [0.846, 0.117, 0.574], [0.846, 0.383, 0.074], [0.881, 0.011, 0.278], [0.881, 0.489, 0.778], [0.940, 0.154, 0.908], [0.940, 0.346, 0.408]],
  "space_group": "No. 14",
  "raw_formation_energy_ev_per_atom": -1.603
}

=====

No. 3
{
  "formula": "LiHgMo3",
  "functional": "GGA-PBEsol",
  "state": "relaxed",
  "lattice_angstrom": [[4.225, 0.000, 0.000], [0.000, 4.225, 0.000], [0.000, 0.000, 4.225]],
  "species": ["Li", "Hg", "Mo", "Mo", "Mo"],
  "fractional_positions": [[0.000, 0.000, 0.000], [0.500, 0.500, 0.500], [0.000, 0.000, 0.500], [0.000, 0.500, 0.000], [0.500, 0.000, 0.000]],
  "space_group": "No. 221",
  "delta_e_f_ev_per_atom": 1.2727
}

=====

No. 4
{
  "formula": "Sc2Co3Si5",
  "functional": "GGA-PBEsol",
  "state": "relaxed",
  "lattice_angstrom": [[-4.555, 5.618, 2.615], [4.555, -5.618, 2.615], [4.555, 5.618, -2.615]],
  "species": ["Sc", "Sc", "Sc", "Sc", "Co", "Co", "Co", "Co", "Co", "Co", "Si", "Si", "Si", "Si", "Si", "Si", "Si", "Si", "Si", "Si"],
  "fractional_positions": [[0.142, 0.231, 0.373], [0.358, 0.731, 0.088], [0.642, 0.269, 0.912], [0.858, 0.769, 0.627], [0.143, 0.905, 0.047], [0.250, 0.750, 0.500], [0.357, 0.405, 0.762], [0.643, 0.595, 0.238], [0.750, 0.250, 0.500], [0.857, 0.095, 0.953], [0.037, 0.750, 0.287], [0.093, 0.673, 0.766], [0.250, 0.250, 0.000], [0.407, 0.173, 0.579], [0.463, 0.750, 0.713], [0.537, 0.250, 0.287], [0.593, 0.827, 0.421], [0.750, 0.750, 0.000], [0.907, 0.327, 0.234], [0.963, 0.250, 0.713]],
  "space_group": "No. 72",
  "raw_formation_energy_ev_per_atom": -0.819
}

=====

No. 5
{
  "formula": "Mg2NbOsBr",
  "functional": "GGA-PBEsol",
  "state": "relaxed",
  "lattice_angstrom": [[5.643, 0.000, 0.000], [0.000, 5.643, 0.000], [0.000, 0.000, 4.545]],
  "species": ["Mg", "Mg", "Nb", "Os", "Br"],
  "fractional_positions": [[0.000, 0.500, 0.000], [0.500, 0.000, 0.000], [0.000, 0.000, 0.000], [0.000, 0.000, 0.500], [0.500, 0.500, 0.500]],
  "space_group": "No. 123",
  "raw_formation_energy_ev_per_atom": 1.281
}

=====

No. 6
{
  "formula": "YSc2In",
  "functional": "GGA-PBEsol",
  "state": "relaxed",
  "lattice_angstrom": [[3.419, 0.000, 0.000], [0.000, 4.441, 0.000], [0.000, 0.000, 6.399]],
  "species": ["Y", "Sc", "Sc", "In"],
  "fractional_positions": [[0.000, 0.000, 0.000], [0.000, 0.000, 0.499], [0.500, 0.500, 0.735], [0.500, 0.500, 0.257]],
  "space_group": "No. 25",
  "delta_e_f_ev_per_atom": -0.2495
}

=====

No. 7
{
  "formula": "OsPbN2O",
  "functional": "GGA-PBEsol",
  "state": "relaxed",
  "lattice_angstrom": [[4.222, 0.000, 0.000], [0.000, 4.222, 0.000], [0.000, 0.000, 4.038]],
  "species": ["Os", "Pb", "N", "N", "O"],
  "fractional_positions": [[0.000, 0.000, 0.000], [0.500, 0.500, 0.500], [0.000, 0.500, 0.500], [0.500, 0.000, 0.500], [0.500, 0.500, 0.000]],
  "space_group": "No. 123",
  "raw_formation_energy_ev_per_atom": 2.361
}

=====

No. 8
{
  "formula": "SiTc2Ru",
  "functional": "GGA-PBEsol",
  "state": "relaxed",
  "lattice_angstrom": [[1.362, 0.786, 8.353], [-1.362, 0.786, 8.353], [0.000, -1.573, 8.353]],
  "species": ["Si", "Tc", "Tc", "Ru"],
  "fractional_positions": [[0.000, 0.000, 0.000], [0.252, 0.252, 0.252], [0.748, 0.748, 0.748], [0.500, 0.500, 0.500]],
  "space_group": "No. 166",
  "raw_formation_energy_ev_per_atom": -0.101
}